Ba2LiSmCoCu2O7: relaxed, PBE+U.

Lattice parameters (Å, degrees): 3.8607 3.9696 12.9110 90.00 90.00 90.00
Closest atoms and distances in Å follow each position.
Fractional coordinates of all 14 atoms:
O: 0.0000 0.0000 0.1722  1 Co 1.86
O: 0.0000 0.5000 0.3754  2 Cu 1.99
O: 0.5000 0.0000 0.3817  2 Cu 1.95
O: 0.0000 0.5000 0.0253  2 Co 1.99
O: 0.5000 0.0000 0.6163  2 Cu 1.93
O: 0.0000 0.0000 0.8697  1 Co 2.05, 2 Li 2.05
O: 0.0000 0.5000 0.6113  2 Cu 1.98
Cu: 0.0000 0.0000 0.3617  4 O 1.95-1.99
Cu: 0.0000 0.0000 0.6103  4 O 1.93-1.98
Ba: 0.5000 0.5000 0.1981  10 O 2.79-3.09
Ba: 0.5000 0.5000 0.7635  4 O 2.75, 2 Li 2.86
Li: 0.5000 0.0000 0.9231  2 O 2.05
Co: 0.0000 0.0000 0.0284  4 O 1.86-2.05
Sm: 0.5000 0.5000 0.4854  8 O 2.39-2.61

Results
As for the energy above the most stable polymorph in this dataset: 78.2 meV per atom.